# CeNdRh2 | Alexandria | PBE-GGA | relaxed
# crystal system: monoclinic
# total DFT energy (no corrections): -113.2 eV per cell
# V: 22.4 A^3/atom
# size of the total moment: 0.825 μB/cell
data_CeNdRh2
_space_group_name_H-M_alt 'P 1 2/c 1'
_space_group_IT_number 13
_cell_length_a 5.678
_cell_length_b 5.706
_cell_length_c 11.469
_cell_angle_alpha 90.00
_cell_angle_beta 105.28
_cell_angle_gamma 90.00
loop_
_space_group_symop_operation_xyz
'x,y,z'
'-x,-y,-z'
'-x,y,-z+1/2'
'x,-y,z+1/2'
loop_
_atom_site_label
_atom_site_type_symbol
_atom_site_fract_x
_atom_site_fract_y
_atom_site_fract_z
Ce1 Ce 0.193 0.129 0.137
Nd1 Nd 0.306 0.371 0.858
Rh1 Rh 0.164 0.354 0.585
Rh2 Rh 0.334 0.127 0.399